No. 1
Here is a relaxed SiP2Ru crystal from Alexandria via LeMat-Bulk. Energies are from PBE-GGA.

Energy relative to the elements, uncorrected = -0.10 eV per atom

Cell: 2.8347 4.4640 5.3084 Å, 66.51 86.29 78.87°
Atoms (fractional coordinates):
Ru 0.3329 0.2247 0.9526
Si 0.8590 0.0500 0.3793
P 0.8168 0.4663 0.5558
P 0.0135 0.8152 0.8744

---

No. 2
Here is a relaxed TiPdPt4 crystal from Alexandria via LeMat-Bulk. Energies are from PBE-GGA.

DFT formation energy = -0.43 eV/atom

Cell: 5.5380 5.2952 7.4924 Å, 90.00 90.00 61.07°
Atoms (fractional coordinates):
Ti 0.0000 0.2500 0.7500
Ti 0.0000 0.7500 0.2500
Pd 0.5000 0.2500 0.2502
Pd 0.5000 0.7500 0.7498
Pt 0.2468 0.4878 0.9358
Pt 0.2466 0.4875 0.5646
Pt 0.7532 0.0122 0.9358
Pt 0.7534 0.5125 0.4354
Pt 0.7534 0.0125 0.5646
Pt 0.2468 0.9878 0.0642
Pt 0.2466 0.9875 0.4354
Pt 0.7532 0.5122 0.0642

---

No. 3
Here is a relaxed Y2GeBr crystal from Alexandria via LeMat-Bulk. Energies are from PBE-GGA.

Energy relative to the elements, uncorrected = -0.83 eV per atom

Cell: 5.1436 5.1436 5.1436 Å, 60.00 60.00 60.00°
Atoms (fractional coordinates):
Y 0.2500 0.2500 0.2500
Y 0.7500 0.7500 0.7500
Ge 0.0000 0.0000 0.0000
Br 0.5000 0.5000 0.5000

---

No. 4
Here is a relaxed NaCaRe2As crystal from Alexandria via LeMat-Bulk. Energies are from PBE-GGA.

DFT formation energy = 2.41 eV/atom

Cell: 5.1033 5.3039 5.1033 Å, 90.00 90.00 90.00°
Atoms (fractional coordinates):
Re 0.0000 0.0000 0.5000
Re 0.5000 0.0000 0.0000
As 0.0000 0.5000 0.0000
Ca 0.0000 0.0000 0.0000
Na 0.5000 0.5000 0.5000

---

No. 5
Here is a relaxed Ho4Tm7Sc crystal from Alexandria via LeMat-Bulk. Energies are from PBE-GGA.

DFT formation energy = 0.22 eV/atom

Cell: 5.2348 12.8971 6.1970 Å, 94.57 65.02 78.29°
Atoms (fractional coordinates):
Ho 0.7425 0.2158 0.2992
Ho 0.2575 0.7842 0.7008
Ho 0.5924 0.7349 0.0804
Ho 0.4076 0.2651 0.9196
Tm 0.8371 0.8975 0.4284
Tm 0.1629 0.1025 0.5716
Tm 0.9602 0.6285 0.4512
Tm 0.0398 0.3715 0.5488
Tm 0.3254 0.5342 0.8150
Tm 0.5000 0.0000 0.0000
Tm 0.6746 0.4658 0.1850
Sc 0.0000 0.0000 0.0000

---

No. 6
Here is a relaxed Sc2AgSe crystal from Alexandria via LeMat-Bulk. Energies are from PBE-GGA.

Energy relative to the elements, uncorrected = -0.58 eV per atom

Cell: 5.9211 5.9211 5.9211 Å, 140.97 140.97 56.38°
Atoms (fractional coordinates):
Ag 0.7500 0.2500 0.5000
Sc 0.0000 0.0000 0.0000
Sc 0.2500 0.7500 0.5000
Se 0.5000 0.5000 0.0000

---

No. 7
Here is a relaxed SmDyZrN3 crystal from Alexandria via LeMat-Bulk. Energies are from PBE-GGA.

Energy relative to the elements, uncorrected = -1.43 eV per atom

Cell: 3.4074 5.8113 8.9579 Å, 101.25 90.00 90.00°
Atoms (fractional coordinates):
Sm 0.7500 0.6618 0.7011
Sm 0.2500 0.3382 0.2989
Dy 0.2500 0.1506 0.6404
Dy 0.7500 0.8494 0.3596
Zr 0.2500 0.7648 0.0415
Zr 0.7500 0.2352 0.9585
N 0.2500 0.7501 0.5057
N 0.7500 0.0337 0.1429
N 0.7500 0.5443 0.1478
N 0.7500 0.2499 0.4943
N 0.2500 0.4557 0.8522
N 0.2500 0.9663 0.8571

---

No. 8
Here is a relaxed CdIn2GeSe6 crystal from Alexandria via LeMat-Bulk. Energies are from PBE-GGA.

Energy relative to the elements, uncorrected = -0.39 eV per atom

Cell: 6.8017 10.0769 10.0769 Å, 103.11 72.99 72.99°
Atoms (fractional coordinates):
Cd 0.2500 0.8321 0.1679
Cd 0.7500 0.1679 0.8321
In 0.3433 0.7018 0.5338
In 0.1567 0.4662 0.2982
In 0.6567 0.2982 0.4662
In 0.8433 0.5338 0.7018
Ge 0.2500 0.1775 0.8225
Ge 0.7500 0.8225 0.1775
Se 0.1412 0.9690 0.7955
Se 0.3588 0.2045 0.0310
Se 0.8588 0.0310 0.2045
Se 0.6412 0.7955 0.9690
Se 0.4068 0.8884 0.3866
Se 0.0932 0.6134 0.1116
Se 0.5932 0.1116 0.6134
Se 0.9068 0.3866 0.8884
Se 0.9357 0.7111 0.5550
Se 0.5643 0.4450 0.2889
Se 0.0643 0.2889 0.4450
Se 0.4357 0.5550 0.7111

---

no.,magnetization (μB/atom)
1,0.0000
2,0.0000
3,0.0000
4,1.1443
5,0.0273
6,0.0001
7,0.0000
8,0.0000